## P
Here is a geometry-optimized AcBeIr structure from the Alexandria database. Energies are from PBE-GGA.

Unit cell a=4.064 b=4.064 c=8.935 alpha=90.00 beta=90.00 gamma=120.00
Sites, in units of the cell vectors:
Ir 0.833 0.167 0.750
Ir 0.167 0.833 0.250
Ac 0.500 0.500 0.000
Ac 0.500 0.500 0.500
Be 0.167 0.833 0.750
Be 0.833 0.167 0.250

=====

## Q
Here is a geometry-optimized AcBeIr structure from the Alexandria database. Energies are from PBE-GGA.

Unit cell a=3.321 b=3.321 c=5.846 alpha=106.50 beta=106.50 gamma=90.00
Sites, in units of the cell vectors:
Ir 0.279 0.279 0.559
Ac 0.001 0.001 0.003
Be 0.719 0.719 0.439

=====

## R
Here is a geometry-optimized AcBeIr structure from the Alexandria database. Energies are from PBE-GGA.

Unit cell a=3.663 b=5.935 c=5.734 alpha=90.00 beta=90.00 gamma=107.97
Sites, in units of the cell vectors:
Ac 0.191 0.381 0.750
Ac 0.809 0.619 0.250
Ir 0.500 0.000 0.500
Ir 0.500 0.000 0.000
Be 0.936 0.872 0.750
Be 0.064 0.128 0.250

=====

Name the least stable of them. Q.

=====

## P
Here is a geometry-optimized Ac2MgBe structure from the Alexandria database. Energies are from PBE-GGA.

Unit cell a=3.738 b=3.738 c=12.106 alpha=81.12 beta=81.12 gamma=60.00
Sites, in units of the cell vectors:
Ac 0.912 0.912 0.263
Ac 0.088 0.088 0.737
Be 0.000 0.000 0.000
Mg 0.500 0.500 0.500

=====

## Q
Here is a geometry-optimized Ac2MgBe structure from the Alexandria database. Energies are from PBE-GGA.

Unit cell a=3.860 b=3.860 c=8.202 alpha=90.00 beta=90.00 gamma=90.00
Sites, in units of the cell vectors:
Be 0.500 0.500 0.000
Mg 0.500 0.500 0.500
Ac 0.000 0.000 0.216
Ac 0.000 0.000 0.784

=====

Name the least stable of them. P.

=====

## P
Here is a geometry-optimized Ac2BeP structure from the Alexandria database. Energies are from PBE-GGA.

Unit cell a=4.164 b=4.164 c=10.248 alpha=78.28 beta=78.28 gamma=60.00
Sites, in units of the cell vectors:
Ac 0.893 0.893 0.320
Ac 0.107 0.107 0.680
Be 0.000 0.000 0.000
P 0.500 0.500 0.500

=====

## Q
Here is a geometry-optimized Ac2BeP structure from the Alexandria database. Energies are from PBE-GGA.

Unit cell a=5.324 b=5.324 c=5.324 alpha=60.00 beta=60.00 gamma=60.00
Sites, in units of the cell vectors:
Ac 0.750 0.750 0.750
Ac 0.250 0.250 0.250
Be 0.500 0.500 0.500
P 0.000 0.000 0.000

=====

## R
Here is a geometry-optimized Ac2BeP structure from the Alexandria database. Energies are from PBE-GGA.

Unit cell a=3.849 b=5.234 c=5.234 alpha=90.00 beta=90.00 gamma=90.00
Sites, in units of the cell vectors:
P 0.500 0.500 0.500
Ac 0.000 0.500 0.000
Ac 0.000 0.000 0.500
Be 0.500 0.000 0.000

=====

Name the least stable of them. P.

=====

## P
Here is a geometry-optimized AcBePb structure from the Alexandria database. Energies are from PBE-GGA.

Unit cell a=5.043 b=4.546 c=7.356 alpha=90.00 beta=90.00 gamma=90.00
Sites, in units of the cell vectors:
Ac 0.500 0.250 0.251
Ac 0.500 0.750 0.749
Be 0.000 0.500 0.000
Be 0.000 0.000 0.000
Pb 0.000 0.750 0.346
Pb 0.000 0.250 0.654

=====

## Q
Here is a geometry-optimized AcBePb structure from the Alexandria database. Energies are from PBE-GGA.

Unit cell a=3.654 b=3.654 c=6.589 alpha=106.10 beta=106.10 gamma=90.00
Sites, in units of the cell vectors:
Be 0.314 0.314 0.628
Pb 0.702 0.702 0.404
Ac 0.984 0.984 0.968

=====

Name the least stable of them. Q.

=====

## P
Here is a geometry-optimized Ac2BePd structure from the Alexandria database. Energies are from PBE-GGA.

Unit cell a=5.368 b=5.368 c=5.368 alpha=60.00 beta=60.00 gamma=60.00
Sites, in units of the cell vectors:
Ac 0.250 0.250 0.250
Ac 0.750 0.750 0.750
Be 0.500 0.500 0.500
Pd 0.000 0.000 0.000

=====

## Q
Here is a geometry-optimized Ac2BePd structure from the Alexandria database. Energies are from PBE-GGA.

Unit cell a=3.819 b=3.819 c=7.471 alpha=90.00 beta=90.00 gamma=90.00
Sites, in units of the cell vectors:
Ac 0.000 0.000 0.249
Ac 0.000 0.000 0.751
Be 0.500 0.500 0.000
Pd 0.500 0.500 0.500

=====

Name the least stable of them. P.

=====

## P
Here is a geometry-optimized AcPm2Be structure from the Alexandria database. Energies are from PBE-GGA.

Unit cell a=3.631 b=3.631 c=9.117 alpha=90.00 beta=90.00 gamma=90.00
Sites, in units of the cell vectors:
Ac 0.500 0.500 0.500
Pm 0.000 0.000 0.179
Pm 0.000 0.000 0.821
Be 0.500 0.500 0.000

=====

## Q
Here is a geometry-optimized AcPm2Be structure from the Alexandria database. Energies are from PBE-GGA.

Unit cell a=3.668 b=3.668 c=11.971 alpha=81.19 beta=81.19 gamma=60.00
Sites, in units of the cell vectors:
Be 0.000 0.000 0.000
Pm 0.918 0.918 0.247
Pm 0.082 0.082 0.753
Ac 0.500 0.500 0.500

=====

Name the least stable of them. Q.

=====

## P
Here is a geometry-optimized AcBePt2 structure from the Alexandria database. Energies are from PBE-GGA.

Unit cell a=4.161 b=4.161 c=5.967 alpha=69.59 beta=69.59 gamma=60.00
Sites, in units of the cell vectors:
Pt 0.208 0.208 0.376
Pt 0.792 0.792 0.624
Be 0.500 0.500 0.500
Ac 0.000 0.000 0.000

=====

## Q
Here is a geometry-optimized AcBePt2 structure from the Alexandria database. Energies are from PBE-GGA.

Unit cell a=4.203 b=4.203 c=9.339 alpha=90.02 beta=90.02 gamma=90.00
Sites, in units of the cell vectors:
Be 0.750 0.750 0.611
Be 0.250 0.250 0.389
Pt 0.750 0.750 0.855
Pt 0.250 0.250 0.145
Pt 0.750 0.250 0.500
Pt 0.250 0.750 0.500
Ac 0.750 0.750 0.204
Ac 0.250 0.250 0.796

=====

Name the least stable of them. P.

=====

## P
Here is a geometry-optimized Ac2BeRh structure from the Alexandria database. Energies are from PBE-GGA.

Unit cell a=5.288 b=5.288 c=5.288 alpha=60.00 beta=60.00 gamma=60.00
Sites, in units of the cell vectors:
Ac 0.250 0.250 0.250
Ac 0.750 0.750 0.750
Rh 0.000 0.000 0.000
Be 0.500 0.500 0.500

=====

## Q
Here is a geometry-optimized Ac2BeRh structure from the Alexandria database. Energies are from PBE-GGA.

Unit cell a=3.794 b=5.240 c=5.240 alpha=90.00 beta=90.00 gamma=90.00
Sites, in units of the cell vectors:
Ac 0.000 0.000 0.500
Ac 0.000 0.500 0.000
Be 0.500 0.000 0.000
Rh 0.500 0.500 0.500

=====

Name the least stable of them. P.